# 1
Computed, not measured: a relaxed AgSb3PbS6 crystal at the PBE-GGA level of DFT.

Summary:
The calculation puts the energy above the lowest structure with this stoichiometry at 3.1 kJ/mol of atoms. Its symmetry is Pc, No. 7. The calculation puts the formation energy from raw total energies at -0.232 eV per atom.

Structure (POSCAR):
```
AgSb3PbS6
1.0
4.4946 0.0000 0.0000
0.0000 12.4004 0.5574
0.0000 7.4245 12.0013
Ag Pb S Sb
2 2 12 6
direct
0.3527 0.2384 0.4687 Ag
0.6473 0.2384 0.9687 Ag
0.3758 0.0240 0.8226 Pb
0.6242 0.0240 0.3226 Pb
0.5756 0.6919 0.4273 S
0.4244 0.6919 0.9273 S
0.1490 0.9888 0.2063 S
0.4700 0.4688 0.7488 S
0.5300 0.4688 0.2488 S
0.8510 0.9888 0.7063 S
0.1579 0.1725 0.3512 S
0.6470 0.2748 0.1167 S
0.4258 0.8381 0.6041 S
0.8421 0.1725 0.8512 S
0.3530 0.2748 0.6167 S
0.5742 0.8381 0.1041 S
0.7784 0.3727 0.6581 Sb
0.2393 0.6633 0.5822 Sb
0.2216 0.3727 0.1581 Sb
0.7607 0.6633 0.0822 Sb
0.1929 0.7666 0.2641 Sb
0.8071 0.7666 0.7641 Sb
```

# 2
Computed, not measured: a relaxed Ag2SbPbS4 crystal at the PBE-GGA level of DFT.

Summary:
Its symmetry is Imma, No. 74. The calculation puts the formation energy from raw total energies at -0.173 eV per atom.

Structure (POSCAR):
```
Ag2SbPbS4
1.0
-2.2575 5.8432 4.8071
-5.4478 -4.7361 3.1997
7.6022 -2.2586 -0.2235
Sb S Pb Ag
2 8 2 4
direct
0.5000 0.5000 0.5000 Sb
0.0000 0.0000 0.0000 Sb
0.7341 0.2365 0.4855 S
0.2580 0.2427 0.0027 S
0.2659 0.7635 0.5145 S
0.2635 0.7659 0.0145 S
0.7365 0.2341 0.9855 S
0.7427 0.7580 0.5027 S
0.2573 0.2420 0.4973 S
0.7420 0.7573 0.9973 S
0.0000 0.5000 0.5000 Pb
0.0000 0.5000 0.0000 Pb
0.5000 0.0000 0.5000 Ag
0.5000 0.0000 0.0000 Ag
0.5000 0.5000 0.0000 Ag
0.0000 0.0000 0.5000 Ag
```

# 3
Computed, not measured: a relaxed ScAgPb2S4 crystal at the PBE-GGA level of DFT.

Summary:
Its symmetry is P2/m, No. 10. The calculation puts the formation energy from raw total energies at -0.785 eV per atom.

Structure (POSCAR):
```
ScAgPb2S4
1.0
3.9790 0.0000 0.0000
0.0000 7.0207 -0.1627
0.0000 2.4484 6.5122
Pb Sc S Ag
2 1 4 1
direct
0.5000 0.0000 0.5000 Pb
0.0000 0.0000 0.0000 Pb
0.0000 0.5000 0.5000 Sc
0.0000 0.2836 0.2543 S
0.0000 0.7164 0.7457 S
0.5000 0.2818 0.7245 S
0.5000 0.7182 0.2755 S
0.5000 0.5000 0.0000 Ag
```

# 4
Computed, not measured: a relaxed SiAgPbS2 crystal at the PBE-GGA level of DFT.

Summary:
Its symmetry is P4/mmm, No. 123. The calculation puts the formation energy from raw total energies at 1.015 eV per atom.

Structure (POSCAR):
```
SiAgPbS2
1.0
-2.7606 4.4756 -0.0789
-1.8544 -1.2283 -4.7948
-4.0784 -2.4766 2.2118
Pb Ag S Si
1 1 2 1
direct
0.0000 0.0000 0.0000 Pb
0.5000 0.5000 0.5000 Ag
0.0000 0.0000 0.5000 S
0.5000 0.0000 0.0000 S
0.0000 0.5000 0.0000 Si
```

# 5
Computed, not measured: a relaxed SmAgPbS3 crystal at the PBE-GGA level of DFT.

Summary:
Its symmetry is P2_1/m, No. 11. The calculation puts the formation energy from raw total energies at -1.011 eV per atom.

Structure (POSCAR):
```
SmAgPbS3
1.0
4.0775 0.0000 0.0000
0.0000 8.3356 0.1412
0.0000 -2.0607 8.6619
Pb S Ag Sm
2 6 2 2
direct
0.2500 0.1922 0.2277 Pb
0.7500 0.8078 0.7723 Pb
0.7500 0.4326 0.1555 S
0.2500 0.7523 0.4952 S
0.2500 0.1082 0.8741 S
0.2500 0.5674 0.8445 S
0.7500 0.8918 0.1259 S
0.7500 0.2477 0.5048 S
0.7500 0.9051 0.4150 Ag
0.2500 0.0949 0.5850 Ag
0.2500 0.6721 0.1715 Sm
0.7500 0.3279 0.8285 Sm
```

# 6
Computed, not measured: a relaxed SmAgPb2S4 crystal at the PBE-GGA level of DFT.

Summary:
Its symmetry is P2/m, No. 10. The calculation puts the formation energy from raw total energies at -0.866 eV per atom.

Structure (POSCAR):
```
SmAgPb2S4
1.0
4.1183 0.0000 0.0000
0.0000 7.2671 -0.1932
0.0000 2.5112 6.5391
S Ag Pb Sm
4 1 2 1
direct
0.5000 0.2669 0.7382 S
0.5000 0.7331 0.2618 S
0.0000 0.7306 0.7541 S
0.0000 0.2694 0.2459 S
0.5000 0.5000 0.0000 Ag
0.0000 0.0000 0.0000 Pb
0.5000 0.0000 0.5000 Pb
0.0000 0.5000 0.5000 Sm
```

# 7
Computed, not measured: a relaxed Ag2SnPbS4 crystal at the PBE-GGA level of DFT.

Summary:
Its symmetry is Imma, No. 74. The calculation puts the formation energy from raw total energies at -0.235 eV per atom.

Structure (POSCAR):
```
Ag2SnPbS4
1.0
7.8658 -0.0193 -0.0867
-0.0249 7.8658 -0.0867
-3.9297 -3.9324 5.6331
Pb S Sn Ag
2 8 2 4
direct
0.0000 0.5000 0.5000 Pb
0.0000 0.5000 0.0000 Pb
0.2570 0.2431 0.4963 S
0.2569 0.2430 0.0037 S
0.7430 0.7569 0.5037 S
0.2702 0.7612 0.5157 S
0.7298 0.2388 0.4843 S
0.2612 0.7702 0.0157 S
0.7388 0.2298 0.9843 S
0.7431 0.7570 0.9963 S
0.5000 0.5000 0.5000 Sn
0.0000 0.0000 0.0000 Sn
0.5000 0.5000 0.0000 Ag
0.0000 0.0000 0.5000 Ag
0.5000 0.0000 0.0000 Ag
0.5000 0.0000 0.5000 Ag
```

# 8
Computed, not measured: a relaxed AgSn2PbS4 crystal at the PBE-GGA level of DFT.

Summary:
Its symmetry is Fmm2, No. 42. The calculation puts the formation energy from raw total energies at -0.323 eV per atom.

Structure (POSCAR):
```
AgSn2PbS4
1.0
-0.6912 -0.3169 5.6951
-3.1341 -4.7720 -0.6466
6.6073 -0.5925 -2.1290
Ag S Sn Pb
1 4 2 1
direct
0.4379 0.4379 0.0000 Ag
0.9372 0.4371 0.0000 S
0.4371 0.9372 0.0000 S
0.6764 0.6764 0.4787 S
0.1977 0.1977 0.5213 S
0.6869 0.1869 0.5000 Sn
0.1869 0.6869 0.5000 Sn
0.9372 0.9372 0.0000 Pb
```

# 9
Computed, not measured: a relaxed TaAg2PbS4 crystal at the PBE-GGA level of DFT.

Summary:
Its symmetry is Pmn2_1, No. 31. The calculation puts the formation energy from raw total energies at -0.399 eV per atom.

Structure (POSCAR):
```
TaAg2PbS4
1.0
-3.5394 3.0428 -4.7759
-3.4678 -5.5572 -0.9707
-6.1117 2.7200 6.2624
S Pb Ta Ag
8 2 2 4
direct
0.3925 0.6719 0.3000 S
0.8679 0.8459 0.0000 S
0.3925 0.6719 0.7000 S
0.3679 0.2375 0.0000 S
0.3679 0.1541 0.5000 S
0.8925 0.3281 0.8000 S
0.8925 0.3281 0.2000 S
0.8679 0.7625 0.5000 S
0.4246 0.8212 0.0000 Pb
0.9246 0.1788 0.5000 Pb
0.5200 0.8334 0.5000 Ta
0.0200 0.1666 0.0000 Ta
0.0173 0.7072 0.7644 Ag
0.5173 0.2928 0.2644 Ag
0.0173 0.7072 0.2356 Ag
0.5173 0.2928 0.7356 Ag
```

# 10
Computed, not measured: a relaxed Ag2TePbS4 crystal at the PBE-GGA level of DFT.

Summary:
Its symmetry is C2/c, No. 15. The calculation puts the formation energy from raw total energies at -0.062 eV per atom.

Structure (POSCAR):
```
Ag2TePbS4
1.0
-3.7395 -3.8719 5.8634
4.5054 -6.4628 -1.1350
3.3728 7.0001 1.3821
Ag S Te Pb
4 8 2 2
direct
0.5000 0.5000 0.0000 Ag
0.5000 0.0000 0.0000 Ag
0.0000 0.0000 0.5000 Ag
0.5000 0.0000 0.5000 Ag
0.7718 0.7923 0.0360 S
0.7442 0.2298 0.9858 S
0.2559 0.7702 0.0142 S
0.2702 0.7558 0.5142 S
0.7077 0.7282 0.4640 S
0.2923 0.2718 0.5360 S
0.2282 0.2077 0.9640 S
0.7298 0.2441 0.4858 S
0.5000 0.5000 0.5000 Te
0.0000 0.0000 0.0000 Te
0.0000 0.5000 0.5000 Pb
0.0000 0.5000 0.0000 Pb
```

# 11
Computed, not measured: a relaxed Ag2TePbS crystal at the PBE-GGA level of DFT.

Summary:
Its symmetry is Cmcm, No. 63. The calculation puts the formation energy from raw total energies at -0.180 eV per atom.

Structure (POSCAR):
```
Ag2TePbS
1.0
4.3961 0.0000 0.0000
-2.1981 7.0582 0.0000
0.0000 0.0000 8.5338
S Te Ag Pb
2 2 4 2
direct
0.0000 0.0000 0.5000 S
0.0000 0.0000 0.0000 S
0.7120 0.4240 0.7500 Te
0.2880 0.5760 0.2500 Te
0.1817 0.3635 0.9705 Ag
0.8183 0.6365 0.4705 Ag
0.1817 0.3635 0.5295 Ag
0.8183 0.6365 0.0295 Ag
0.4909 0.9818 0.7500 Pb
0.5091 0.0182 0.2500 Pb
```

# 12
Computed, not measured: a relaxed AgTePbS3 crystal at the PBE-GGA level of DFT.

Summary:
Its symmetry is P2_1/m, No. 11. The calculation puts the formation energy from raw total energies at -0.061 eV per atom.

Structure (POSCAR):
```
AgTePbS3
1.0
3.8160 0.0000 0.0000
0.0000 8.2529 0.3904
0.0000 -1.8438 10.3127
Pb Ag Te S
2 2 2 6
direct
0.2500 0.1693 0.2678 Pb
0.7500 0.8307 0.7322 Pb
0.7500 0.8998 0.4161 Ag
0.2500 0.1002 0.5839 Ag
0.2500 0.6249 0.1614 Te
0.7500 0.3751 0.8386 Te
0.2500 0.1462 0.8283 S
0.2500 0.7592 0.5424 S
0.7500 0.8538 0.1717 S
0.7500 0.4018 0.1252 S
0.7500 0.2408 0.4576 S
0.2500 0.5982 0.8748 S
```